Material: VReH3
Method: DFT, PBE
State: relaxed

Cell lengths 3.3068, 3.3068, 3.3068 Å; angles 90.00, 90.00, 90.00 degrees
Last column: nearest neighbours and their distance in Å.
Fractional coordinates of all 5 atoms:
Re: 0.5000 0.5000 0.5000  12 H 2.34
V: 0.0000 0.0000 0.0000  6 H 1.65
H: 0.5000 0.0000 0.0000  2 V 1.65
H: 0.0000 0.5000 0.0000  2 V 1.65
H: 0.0000 0.0000 0.5000  2 V 1.65

Its density of states at the Fermi level is 3.00 states/eV per cell. The value obtained for the volume is 7.23 Å³/atom. Its energy above the most stable polymorph in this dataset is 0.109 eV per atom.

Material: V2ReH2
Method: DFT, PBE
State: relaxed

Cell lengths 4.2229, 4.2229, 4.2151 Å; angles 59.94, 59.94, 90.00 degrees
Last column: nearest neighbours and their distance in Å.
Fractional coordinates of all 5 atoms:
Re: 0.0000 0.0000 0.0000  2 H 1.80
H: 0.3030 0.3030 0.3940  1 Re 1.80
V: 0.2500 0.7500 0.5000  4 H 2.13
V: 0.7500 0.2500 0.5000  4 H 2.13
H: 0.6970 0.6970 0.6060  1 Re 1.80

Its density of states at the Fermi level is 4.62 states/eV per cell. The value obtained for the volume is 10.61 Å³/atom. Its energy above the most stable polymorph in this dataset is 0.000 eV per atom.

Material: VReH3
Method: DFT, PBE
State: relaxed

Cell lengths 3.4635, 3.4635, 3.4635 Å; angles 90.00, 90.00, 90.00 degrees
Last column: nearest neighbours and their distance in Å.
Fractional coordinates of all 5 atoms:
H: 0.0000 0.5000 0.0000  2 Re 1.73
H: 0.0000 0.0000 0.5000  2 Re 1.73
V: 0.5000 0.5000 0.5000  12 H 2.45
Re: 0.0000 0.0000 0.0000  6 H 1.73
H: 0.5000 0.0000 0.0000  2 Re 1.73

Its density of states at the Fermi level is 2.80 states/eV per cell. The value obtained for the volume is 8.31 Å³/atom. Its energy above the most stable polymorph in this dataset is 0.000 eV per atom.

Material: Zr2VReH
Method: DFT, PBE
State: relaxed

Cell lengths 4.6389, 4.6389, 3.4796 Å; angles 90.00, 90.00, 90.00 degrees
Last column: nearest neighbours and their distance in Å.
Fractional coordinates of all 5 atoms:
Zr: 0.0000 0.5000 0.0000  2 H 2.32
H: 0.0000 0.0000 0.0000  2 V 1.74
Zr: 0.5000 0.0000 0.0000  2 H 2.32
V: 0.0000 0.0000 0.5000  2 H 1.74
Re: 0.5000 0.5000 0.5000  8 Zr 2.90

Its density of states at the Fermi level is 5.35 states/eV per cell. The value obtained for the volume is 14.98 Å³/atom.

| no. | spin magnetization (μB/cell) | energy (eV/atom) |
| --- | --- | --- |
| 1 | 0.00 | -5.82 |
| 2 | 0.69 | -7.33 |
| 3 | 3.02 | -5.93 |
| 4 | 1.35 | -8.52 |